VASP calculation (GGA-PBE) on a geometry-optimized LaPtSe structure.

a b c (Å): 5.313 5.313 4.036
angles (deg): 67.68 67.67 44.65
Sites, in units of the cell vectors:
La (0.003, 0.003, 0.997)
Se (0.643, 0.643, 0.357)
Pt (0.354, 0.354, 0.646)

Results
- Volume: 73 Å³/cell
- D(E_F): 0.73 states/eV/atom
- Excess energy over the best structure of this formula in the dataset: 0.62 eV per formula unit



VASP calculation (GGA-PBE) on a geometry-optimized FeAsPb3 structure.

a b c (Å): 5.077 5.077 5.077
angles (deg): 90.00 90.00 90.00
Sites, in units of the cell vectors:
Fe (0.000, 0.000, 0.000)
Pb (0.000, 0.000, 0.500)
Pb (0.000, 0.500, 0.000)
Pb (0.500, 0.000, 0.000)
As (0.500, 0.500, 0.500)

Results
- Volume: 131 Å³/cell
- D(E_F): 1.24 states/eV/atom
- Excess energy over the best structure of this formula in the dataset: 0.00 eV per formula unit
- DFT formation energy: 0.38 eV/atom



VASP calculation (GGA-PBE) on a geometry-optimized TaBe2Cd structure.

a b c (Å): 5.286 5.286 5.286
angles (deg): 150.17 122.32 66.29
Sites, in units of the cell vectors:
Be (0.502, 0.502, 0.000)
Be (0.998, 0.998, 0.000)
Ta (0.250, 0.750, 0.500)
Cd (0.750, 0.250, 0.500)

Results
- Volume: 61 Å³/cell
- D(E_F): 0.47 states/eV/atom
- DFT formation energy: 0.64 eV/atom



VASP calculation (GGA-PBE) on a geometry-optimized Tb2InCu2 structure.

a b c (Å): 3.742 7.584 7.584
angles (deg): 90.00 90.00 90.00
Sites, in units of the cell vectors:
Tb (0.500, 0.172, 0.672)
Tb (0.500, 0.672, 0.828)
Tb (0.500, 0.328, 0.172)
Tb (0.500, 0.828, 0.328)
Cu (0.000, 0.120, 0.380)
Cu (0.000, 0.380, 0.880)
Cu (0.000, 0.620, 0.120)
Cu (0.000, 0.880, 0.620)
In (0.000, 0.500, 0.500)
In (0.000, 0.000, 0.000)

Results
- Volume: 215 Å³/cell
- D(E_F): 0.71 states/eV/atom
- DFT formation energy: -0.39 eV/atom



VASP calculation (GGA-PBE) on a geometry-optimized Rb2ScSi2O6 structure.

a b c (Å): 5.786 5.786 6.658
angles (deg): 64.25 64.25 60.00
Sites, in units of the cell vectors:
Rb (0.782, 0.782, 0.654)
Rb (0.218, 0.218, 0.346)
O (0.246, 0.246, 0.786)
O (0.278, 0.754, 0.214)
O (0.754, 0.278, 0.214)
O (0.754, 0.754, 0.214)
O (0.722, 0.246, 0.786)
O (0.246, 0.722, 0.786)
Si (0.577, 0.577, 0.268)
Si (0.423, 0.423, 0.732)
Sc (0.000, 0.000, 0.000)

Results
- Volume: 167 Å³/cell
- Total energy: -6.93 eV/atom
- D(E_F): 0.00 states/eV/atom



VASP calculation (GGA-PBE) on a geometry-optimized SiSb2Br structure.

a b c (Å): 3.332 3.332 10.385
angles (deg): 90.00 90.00 117.83
Sites, in units of the cell vectors:
Sb (0.500, 0.500, 0.272)
Sb (0.000, 0.000, 0.012)
Br (0.500, 0.500, 0.703)
Si (0.000, 0.000, 0.513)

Results
- Volume: 102 Å³/cell
- D(E_F): 0.57 states/eV/atom
- Excess energy over the best structure of this formula in the dataset: 1.02 eV per formula unit



VASP calculation (GGA-PBE) on a geometry-optimized Fe6CoCu structure.

a b c (Å): 6.393 6.393 11.396
angles (deg): 90.00 90.00 126.74
Sites, in units of the cell vectors:
Fe (0.120, 0.373, 0.374)
Fe (0.500, 0.500, 0.250)
Fe (0.120, 0.373, 0.126)
Fe (0.252, 0.748, 0.501)
Fe (0.880, 0.627, 0.126)
Fe (0.369, 0.122, 0.877)
Fe (0.748, 0.252, 0.999)
Fe (0.122, 0.369, 0.877)
Fe (0.000, 0.000, 0.250)
Fe (0.252, 0.748, 0.999)
Fe (0.000, 0.000, 0.750)
Fe (0.631, 0.878, 0.877)
Fe (0.500, 0.500, 0.750)
Fe (0.880, 0.627, 0.374)
Fe (0.369, 0.122, 0.624)
Fe (0.748, 0.252, 0.501)
Fe (0.122, 0.369, 0.624)
Fe (0.878, 0.631, 0.624)
Fe (0.373, 0.120, 0.374)
Fe (0.878, 0.631, 0.877)
Fe (0.627, 0.880, 0.374)
Fe (0.631, 0.878, 0.624)
Fe (0.373, 0.120, 0.126)
Fe (0.627, 0.880, 0.126)
Co (0.749, 0.251, 0.250)
Co (0.000, 0.000, 0.002)
Co (0.251, 0.749, 0.250)
Co (0.000, 0.000, 0.499)
Cu (0.500, 0.500, 0.497)
Cu (0.747, 0.253, 0.750)
Cu (0.253, 0.747, 0.750)
Cu (0.500, 0.500, 0.003)

Results
- Volume: 373 Å³/cell
- D(E_F): 0.77 states/eV/atom
- DFT formation energy: 0.05 eV/atom



VASP calculation (GGA-PBE) on a geometry-optimized CaCrRh structure.

a b c (Å): 4.509 4.509 3.388
angles (deg): 90.00 90.00 120.00
Sites, in units of the cell vectors:
Ca (0.000, 0.000, 0.000)
Cr (0.667, 0.333, 0.500)
Rh (0.333, 0.667, 0.500)

Results
- Volume: 60 Å³/cell
- D(E_F): 0.86 states/eV/atom
- Excess energy over the best structure of this formula in the dataset: 0.22 eV per formula unit
- DFT formation energy: 0.20 eV/atom



VASP calculation (GGA-PBE) on a geometry-optimized PaAl2Tl2O6 structure.

a b c (Å): 5.990 5.990 7.269
angles (deg): 117.37 90.00 120.00
Sites, in units of the cell vectors:
O (0.255, 0.510, 0.347)
O (0.264, 0.044, 0.732)
O (0.736, 0.956, 0.268)
O (0.779, 0.044, 0.732)
O (0.221, 0.956, 0.268)
O (0.745, 0.490, 0.653)
Pa (0.500, 0.000, 0.500)
Tl (0.704, 0.408, 0.149)
Tl (0.296, 0.592, 0.851)
Al (0.059, 0.117, 0.234)
Al (0.941, 0.883, 0.766)

Results
- Volume: 191 Å³/cell
- Total energy: -7.00 eV/atom